Entry 1:
# meta-GGA SCAN Cu3Ni, single point on PBEsol structure
# - Energy relative to the elements: 0.072 eV per atom
data_Cu3Ni
_chemical_formula_sum 'Cu12 Ni4'
_cell_length_a 5.6056
_cell_length_b 5.6056
_cell_length_c 5.6056
_cell_angle_alpha 90.00
_cell_angle_beta 90.00
_cell_angle_gamma 90.00
_symmetry_space_group_name_H-M 'F m -3 m'
_symmetry_Int_Tables_number 225
_symmetry_space_group_name_Hall '-F 4 2 3'
loop_
_atom_site_label
_atom_site_fract_x
_atom_site_fract_y
_atom_site_fract_z
Cu1 0.0000 0.0000 0.0000
Cu2 0.2500 0.2500 0.2500
Ni1 0.0000 0.0000 0.5000


Entry 2:
# meta-GGA SCAN KZrMo2, single point on PBEsol structure
# - ΔE to the lowest computed polymorph: 0 meV per atom
# - Energy relative to the elements: 0.837 eV per atom
data_KZrMo2
_chemical_formula_sum 'K1 Zr1 Mo2'
_cell_length_a 2.6836
_cell_length_b 4.8370
_cell_length_c 7.3911
_cell_angle_alpha 90.00
_cell_angle_beta 90.00
_cell_angle_gamma 90.00
_symmetry_space_group_name_H-M 'P m m m'
_symmetry_Int_Tables_number 47
loop_
_symmetry_equiv_pos_as_xyz
'x,y,z'
'-x,-y,-z'
'-x,-y,z'
'x,y,-z'
'x,-y,-z'
'-x,y,z'
'-x,y,-z'
'x,-y,z'
loop_
_atom_site_label
_atom_site_fract_x
_atom_site_fract_y
_atom_site_fract_z
K1 0.0000 0.0000 0.0000
Zr1 0.0000 0.0000 0.5000
Mo1 0.5000 0.5000 0.3399


> What is the formula in the first record?

Cu3Ni


> energy relative to the elements of number 2 (KZrMo2)?

0.837 eV per atom